1.
Density functional theory data (PBE-GGA) for a geometry-optimized FeSb2Cl structure.

Geometry as POSCAR:
```
FeSb2Cl
1.0
-4.508 0.975 -1.903
-3.587 -3.464 0.181
-3.911 0.615 3.037
Cl Fe Sb
1 1 2
direct
0.500 0.500 0.500
0.750 0.750 0.750
0.000 0.000 0.000
0.250 0.250 0.250
```

E_tot: -4.246 eV/atom
E_form (uncorrected): 0.39 eV per atom
ΔE to the lowest computed polymorph: 474 meV per atom
DOS(E_F): 3.34 states/eV/cell

=====

2.
Density functional theory data (PBE-GGA) for a geometry-optimized Ti3CuSb structure.

Geometry as POSCAR:
```
Ti3CuSb
1.0
5.111 -0.180 -0.339
0.000 4.544 -2.411
-0.590 1.027 7.424
Ti Cu Sb
6 2 2
direct
0.833 0.403 0.311
0.167 0.093 0.689
0.167 0.597 0.689
0.833 0.907 0.311
0.500 0.000 0.000
0.000 0.000 0.000
0.259 0.522 0.044
0.741 0.478 0.956
0.662 0.818 0.636
0.338 0.182 0.364
```

E_tot: -6.336 eV/atom
E_form (uncorrected): 0.04 eV per atom
ΔE to the lowest computed polymorph: 33 meV per atom
DOS(E_F): 10.83 states/eV/cell

=====

3.
Density functional theory data (PBE-GGA) for a geometry-optimized Dy2HoHf structure.

Geometry as POSCAR:
```
Dy2HoHf
1.0
-2.963 -1.382 -3.551
3.637 0.341 -3.167
1.158 -4.620 0.832
Hf Ho Dy
1 1 2
direct
0.500 0.000 0.000
0.500 0.500 0.500
0.000 0.500 0.000
0.000 0.000 0.500
```

E_tot: -5.795 eV/atom
Formation energy from the elements: 0.14 eV per atom
ΔE to the lowest computed polymorph: 30 meV per atom
DOS(E_F): 4.34 states/eV/cell

=====

4.
Density functional theory data (PBE-GGA) for a geometry-optimized RbCa2MgIr structure.

Geometry as POSCAR:
```
RbCa2MgIr
1.0
-4.891 1.822 -2.050
-2.566 -4.521 2.104
-0.938 2.683 4.621
Mg Ir Ca Rb
1 1 2 1
direct
0.000 0.000 0.500
0.000 0.000 0.000
0.500 0.000 0.000
0.000 0.500 0.000
0.500 0.500 0.500
```

E_tot: -3.170 eV/atom
Formation energy from the elements: -0.08 eV per atom
DOS(E_F): 3.84 states/eV/cell